Entry 1:
# BeRh8

A relaxed BeRh8 crystal (PBE, the Alexandria database).

Computed properties:
**ΔH_f (0 K)**: -0.1 eV/f.u.
**E_tot**: -6.9557 eV per atom

Cell and atoms, written as POSCAR:
```
BeRh8
1.0
-0.189 -5.509 2.381
-2.621 5.398 0.200
-2.251 -1.570 -5.340
Rh Be
8 1
Cartesian
-1.602 1.259 -1.690
-3.270 2.570 -3.450
-1.005 -1.849 1.649
-1.638 -4.751 -1.986
-0.803 -2.328 -0.973
-2.454 -1.090 -2.718
-1.805 1.739 0.932
-2.608 -0.589 -0.041
0.000 0.000 0.000
```


Entry 2:
# MgRhOF2

A relaxed MgRhOF2 crystal (PBE, the Alexandria database).

Computed properties:
**Energy relative to the elements, uncorrected**: -1.439 eV per atom
**E_tot**: -4.9686 eV per atom

Cell and atoms, written as POSCAR:
```
MgRhOF2
1.0
-1.823 -2.750 -1.663
3.039 -2.096 0.134
-1.247 -1.555 3.938
O Mg F Rh
1 1 2 1
Cartesian
-0.623 -0.778 1.969
0.000 0.000 0.000
1.520 -1.048 0.067
-0.912 -1.375 -0.832
-0.015 -3.201 1.205
```


Entry 3:
# Ta4IrRu5

A relaxed Ta4IrRu5 crystal (PBE, the Alexandria database).

Computed properties:
**ΔH_f (0 K)**: -4.2 eV/f.u.
**E_tot**: -10.6805 eV per atom

Cell and atoms, written as POSCAR:
```
Ta4IrRu5
1.0
-4.128 0.255 -0.807
1.056 0.005 -5.395
1.076 -6.893 3.317
Ta Ru Ir
4 5 1
Cartesian
-2.696 -5.482 1.055
-2.175 -2.551 -0.679
0.179 -4.082 -2.207
0.700 -1.151 -3.941
-1.639 -2.650 -3.452
-1.536 0.130 -3.101
-0.357 -3.984 0.566
0.169 -1.528 -1.347
-2.165 -5.105 -1.539
-2.064 0.127 -0.404
```


Entry 4:
# CdHgRu2

A relaxed CdHgRu2 crystal (PBE, the Alexandria database).

Computed properties:
**ΔH_f (0 K)**: 2.1 eV/f.u.
**E_tot**: -4.4110 eV per atom

Cell and atoms, written as POSCAR:
```
CdHgRu2
1.0
-0.605 2.161 4.428
-2.934 0.470 3.976
2.001 -3.552 2.985
Cd Hg Ru
1 1 2
Cartesian
-0.385 -0.231 2.847
-1.154 -0.692 8.542
0.031 -0.057 0.051
-0.801 -0.404 5.643
```


Entry 5:
# YZrCu3

A relaxed YZrCu3 crystal (PBE, the Alexandria database).

Computed properties:
**ΔH_f (0 K)**: -0.9 eV/f.u.
**E_tot**: -5.6479 eV per atom

Cell and atoms, written as POSCAR:
```
YZrCu3
1.0
3.360 0.000 -0.463
0.000 4.240 0.000
0.038 0.000 12.707
Y Cu Zr
2 6 2
Cartesian
3.140 3.180 10.368
0.258 1.060 1.876
2.102 3.180 2.835
1.108 3.180 8.045
1.296 1.060 9.410
1.764 3.180 0.374
1.634 1.060 11.871
2.290 1.060 4.200
0.724 3.180 5.257
2.674 1.060 6.988
```


Entry 6:
# Nd4Te2PI

A relaxed Nd4Te2PI crystal (PBE, the Alexandria database).

Computed properties:
**Energy relative to the elements, uncorrected**: -1.342 eV per atom
**E_tot**: -5.3816 eV per atom

Cell and atoms, written as POSCAR:
```
Nd4Te2PI
1.0
4.327 0.000 0.000
0.000 7.653 -0.186
0.000 2.666 7.395
P Te Nd I
1 2 4 1
Cartesian
0.000 5.159 3.605
0.000 2.666 7.395
2.164 1.333 3.698
2.164 4.051 5.199
2.164 6.268 2.010
0.000 7.527 5.147
4.327 2.792 2.062
2.164 3.827 -0.093
```


Entry 7:
# Nd8HoGa6

A relaxed Nd8HoGa6 crystal (PBE, the Alexandria database).

Computed properties:
**ΔH_f (0 K)**: -5.4 eV/f.u.
**E_tot**: -4.4158 eV per atom

Cell and atoms, written as POSCAR:
```
Nd8HoGa6
1.0
8.853 0.000 0.000
4.426 7.667 0.000
4.426 2.556 6.329
Nd Ga Ho
8 6 1
Cartesian
7.380 7.669 2.150
10.326 2.554 4.180
7.375 2.557 2.150
10.331 7.666 4.180
8.853 5.111 6.316
5.901 5.114 4.180
8.853 5.111 0.014
11.805 5.108 2.150
7.317 2.553 5.279
5.870 5.162 1.050
11.836 5.060 5.279
10.388 7.669 1.050
7.405 7.720 5.279
10.300 2.503 1.050
0.000 0.000 0.000
```


Entry 8:
# CuSbTe2N

A relaxed CuSbTe2N crystal (PBE, the Alexandria database).

Computed properties:
**Energy relative to the elements, uncorrected**: 1.066 eV per atom
**E_tot**: -3.4993 eV per atom

Cell and atoms, written as POSCAR:
```
CuSbTe2N
1.0
5.847 0.000 0.000
0.000 5.847 0.000
0.000 0.000 3.856
Te Sb N Cu
2 1 1 1
Cartesian
0.000 2.924 0.000
2.924 0.000 0.000
0.000 0.000 0.000
0.000 0.000 1.928
2.924 2.924 1.928
```


no.,D(E_F) (states/eV/cell)
1,15.72
2,6.11
3,4.63
4,3.83
5,8.45
6,3.59
7,17.99
8,3.97